Record 1
DFT (PBE-GGA) results for an optimized crystal structure of Er6HgC3S2.

The structure in POSCAR format:
```
Er6HgC3S2
1.0
-3.0891 -0.3088 1.9693
4.1665 -2.6696 6.1169
1.0650 8.5275 -0.4238
C S Er Hg
3 2 6 1
direct
0.1693 0.8287 0.3386
0.8307 0.1713 0.6614
0.5000 0.5000 0.0000
0.8378 0.6753 0.6756
0.1622 0.3247 0.3244
0.0133 0.7085 0.0266
0.3380 0.3962 0.6760
0.3187 0.9408 0.6375
0.9867 0.2915 0.9734
0.6813 0.0592 0.3625
0.6620 0.6038 0.3240
0.5000 0.0000 0.0000
```

Calculated values
E_tot: -74.82 eV per cell
Space group: C2/m, No. 12
Formation energy from raw total energies: -0.9345 eV/atom



Record 2
DFT (PBE-GGA) results for an optimized crystal structure of Er4HgSbC.

The structure in POSCAR format:
```
Er4HgSbC
1.0
-1.6211 -3.9036 -5.2622
6.2234 0.7103 -2.4441
3.0589 -4.2643 6.5497
C Er Hg Sb
2 8 2 2
direct
0.7502 0.2500 0.5004
0.2498 0.7500 0.4996
0.9155 0.2500 0.8310
0.0000 0.5000 0.5000
0.5000 0.0000 0.5000
0.5000 0.5000 0.5000
0.0845 0.7500 0.1690
0.5916 0.2500 0.1831
0.4084 0.7500 0.8169
0.0000 0.0000 0.5000
0.8859 0.7500 0.7718
0.1141 0.2500 0.2282
0.3899 0.2500 0.7797
0.6101 0.7500 0.2203
```

Calculated values
E_tot: -72.38 eV per cell
Space group: Cmcm, No. 63
Formation energy from raw total energies: -0.6126 eV/atom



Record 3
DFT (PBE-GGA) results for an optimized crystal structure of Er2ScHgC.

The structure in POSCAR format:
```
Er2ScHgC
1.0
4.4392 0.0000 0.0000
0.0000 4.9125 0.0000
0.0000 0.0000 4.9125
Hg C Sc Er
1 1 1 2
direct
0.5000 0.5000 0.5000
0.0000 0.0000 0.0000
0.5000 0.0000 0.0000
0.0000 0.0000 0.5000
0.0000 0.5000 0.0000
```

Calculated values
Energy of formation: -0.471 eV per atom
E_tot: -27.34 eV per cell
Space group: P4/mmm, No. 123



Record 4
DFT (PBE-GGA) results for an optimized crystal structure of Er4SiHgC.

The structure in POSCAR format:
```
Er4SiHgC
1.0
-1.7385 6.4290 1.2488
-4.7748 -2.1229 4.2818
5.6444 -2.9801 4.8168
Er Hg C Si
8 2 2 2
direct
0.0000 0.0000 0.5000
0.5000 0.5000 0.5000
0.9170 0.2500 0.8339
0.5000 0.0000 0.5000
0.4211 0.7500 0.8422
0.0830 0.7500 0.1661
0.0000 0.5000 0.5000
0.5789 0.2500 0.1578
0.1154 0.2500 0.2308
0.8846 0.7500 0.7692
0.2520 0.7500 0.5040
0.7480 0.2500 0.4960
0.6248 0.7500 0.2496
0.3752 0.2500 0.7504
```

Calculated values
E_tot: -72.80 eV per cell
Space group: Cmcm, No. 63
Formation energy from raw total energies: -0.4573 eV/atom



Record 5
DFT (PBE-GGA) results for an optimized crystal structure of Sm3ErHg2C.

The structure in POSCAR format:
```
Sm3ErHg2C
1.0
4.8659 0.0000 0.0000
0.0000 5.0759 0.0000
-2.4329 -2.5379 7.5584
Sm Er Hg C
3 1 2 1
direct
0.0000 0.5000 0.0000
0.8327 0.8327 0.6654
0.1673 0.1673 0.3346
0.5000 0.0000 0.0000
0.6298 0.6298 0.2596
0.3702 0.3702 0.7404
0.0000 0.0000 0.0000
```

Calculated values
Energy of formation: -0.335 eV per atom
E_tot: -30.89 eV per cell
Space group: Immm, No. 71



Record 6
DFT (PBE-GGA) results for an optimized crystal structure of TbEr2HgC.

The structure in POSCAR format:
```
TbEr2HgC
1.0
-1.8641 -4.6024 -0.0188
4.4746 -1.8130 0.1718
-0.1661 0.0476 4.8279
Tb Er Hg C
1 2 1 1
direct
0.5000 0.0000 0.0000
0.0000 0.5000 0.0000
0.0000 0.0000 0.5000
0.5000 0.5000 0.5000
0.0000 0.0000 0.0000
```

Calculated values
Energy of formation: -0.385 eV per atom
E_tot: -25.21 eV per cell
Space group: P4/mmm, No. 123



Record 7
DFT (PBE-GGA) results for an optimized crystal structure of ErTmHgC.

The structure in POSCAR format:
```
ErTmHgC
1.0
-2.1733 2.2361 -1.7174
-1.0643 -3.3213 0.7101
-1.1034 1.9997 7.6964
Hg Er Tm C
1 1 1 1
direct
0.9674 0.3817 0.3631
0.5231 0.1595 0.6983
0.0850 0.9405 0.0410
0.3023 0.5491 0.8672
```

Calculated values
Energy of formation: -0.414 eV per atom
E_tot: -20.22 eV per cell
Space group: R3m, No. 160



Record 8
DFT (PBE-GGA) results for an optimized crystal structure of Er2TmHgC.

The structure in POSCAR format:
```
Er2TmHgC
1.0
-0.3626 -4.7884 0.0794
1.9253 -0.0719 4.4574
-4.4429 0.3683 1.9249
Er C Tm Hg
2 1 1 1
direct
0.0000 0.0000 0.5000
0.0000 0.5000 0.0000
0.0000 0.0000 0.0000
0.5000 0.0000 0.0000
0.5000 0.5000 0.5000
```

Calculated values
Energy of formation: -0.410 eV per atom
E_tot: -25.17 eV per cell
Space group: P4/mmm, No. 123



Record 9
DFT (PBE-GGA) results for an optimized crystal structure of Y2ErHgC.

The structure in POSCAR format:
```
Y2ErHgC
1.0
-3.5784 -1.3096 -2.9675
-2.7070 -1.3846 3.8753
-1.9015 4.5345 0.2919
Er Hg Y C
1 1 2 1
direct
0.5000 0.0000 0.0000
0.5000 0.5000 0.5000
0.0000 0.5000 0.0000
0.0000 0.0000 0.5000
0.0000 0.0000 0.0000
```

Calculated values
Energy of formation: -0.399 eV per atom
E_tot: -29.01 eV per cell
Space group: P4/mmm, No. 123



Record 10
DFT (PBE-GGA) results for an optimized crystal structure of HoEr2C2.

The structure in POSCAR format:
```
HoEr2C2
1.0
-4.5593 -1.9488 0.8098
1.4679 0.5376 -6.0262
3.0517 -6.1062 2.4865
C Er Ho
4 4 2
direct
0.5030 0.0060 0.7629
0.1675 0.3350 0.5864
0.4970 0.9940 0.2371
0.8325 0.6650 0.4136
0.6620 0.3240 0.5669
0.3380 0.6760 0.4331
0.9933 0.9865 0.2728
0.0067 0.0135 0.7272
0.3443 0.6887 0.9036
0.6557 0.3113 0.0964
```

Calculated values
Energy of formation: -0.256 eV per atom
E_tot: -66.86 eV per cell
Space group: C2/m, No. 12



Record 11
DFT (PBE-GGA) results for an optimized crystal structure of HoEr3C8.

The structure in POSCAR format:
```
HoEr3C8
1.0
5.9451 0.0000 0.8644
-3.0528 4.8907 2.5685
-0.1606 0.0000 6.0013
C Er Ho
8 3 1
direct
0.1311 0.4791 0.8685
0.6521 0.5209 0.3476
0.3866 0.0000 0.1158
0.5929 0.6736 0.4071
0.1011 0.0000 0.5754
0.9192 0.3264 0.0808
0.8844 0.0000 0.6134
0.4247 0.0000 0.8990
0.7021 0.5000 0.7980
0.2021 0.5000 0.2980
0.5085 0.0000 0.4916
0.9954 0.0000 0.0049
```

Calculated values
Energy of formation: 0.122 eV per atom
E_tot: -90.59 eV per cell
Space group: Fmm2, No. 42



Record 12
DFT (PBE-GGA) results for an optimized crystal structure of Ho3ErC.

The structure in POSCAR format:
```
Ho3ErC
1.0
5.0179 0.0000 0.0000
0.0000 5.0179 0.0000
0.0000 0.0000 5.0179
Er C Ho
1 1 3
direct
0.5000 0.5000 0.5000
0.0000 0.0000 0.0000
0.5000 0.0000 0.0000
0.0000 0.5000 0.0000
0.0000 0.0000 0.5000
```

Calculated values
Energy of formation: -0.025 eV per atom
E_tot: -27.65 eV per cell
Space group: Pm-3m, No. 221



Record 13
DFT (PBE-GGA) results for an optimized crystal structure of HoEr2C3.

The structure in POSCAR format:
```
HoEr2C3
1.0
4.9773 0.0000 2.6303
1.8088 6.1003 2.6017
-0.4381 0.3043 6.8534
Ho Er C
2 4 6
direct
0.7500 0.7264 0.7736
0.2500 0.2736 0.2264
0.4273 0.7421 0.4033
0.0727 0.0967 0.7579
0.9273 0.9033 0.2421
0.5727 0.2579 0.5967
0.3776 0.0000 0.0000
0.0000 0.0000 0.5000
0.6224 0.0000 0.0000
0.1224 0.5000 0.5000
0.5000 0.0000 0.5000
0.8776 0.5000 0.5000
```

Calculated values
Energy of formation: -0.081 eV per atom
E_tot: -83.72 eV per cell
Space group: Imma, No. 74



Record 14
DFT (PBE-GGA) results for an optimized crystal structure of HoErC.

The structure in POSCAR format:
```
HoErC
1.0
3.5469 0.0000 0.0000
-1.7734 3.0717 0.0000
0.0000 0.0000 6.1807
C Er Ho
1 1 1
direct
0.6667 0.3333 0.3341
0.3333 0.6667 0.5499
0.0000 0.0000 0.1160
```

Calculated values
Excess energy over the best structure of this formula in the dataset: 0.025 eV/atom
Energy of formation: -0.289 eV per atom
E_tot: -19.23 eV per cell
Space group: P3m1, No. 156



Record 15
DFT (PBE-GGA) results for an optimized crystal structure of Ho4Er2C.

The structure in POSCAR format:
```
Ho4Er2C
1.0
4.8168 0.0000 0.0000
0.0000 4.8168 0.0000
2.4084 2.4084 8.7661
Er Ho C
2 4 1
direct
0.3289 0.3289 0.3421
0.6711 0.6711 0.6579
0.0000 0.5000 0.0000
0.8649 0.8649 0.2702
0.5000 0.0000 0.0000
0.1351 0.1351 0.7298
0.0000 0.0000 0.0000
```

Calculated values
Energy of formation: 0.141 eV per atom
E_tot: -35.67 eV per cell
Space group: I4/mmm, No. 139



Record 16
DFT (PBE-GGA) results for an optimized crystal structure of HoEr12C7.

The structure in POSCAR format:
```
HoEr12C7
1.0
-7.6376 2.4806 -0.0667
0.9444 -4.8172 6.3556
4.6500 6.4513 1.1171
Er C Ho
12 7 1
direct
0.3088 0.7860 0.9298
0.8406 0.6257 0.5570
0.9298 0.3088 0.7860
0.5570 0.8406 0.6257
0.4430 0.1594 0.3743
0.0702 0.6912 0.2140
0.3743 0.4430 0.1594
0.7860 0.9298 0.3088
0.1594 0.3743 0.4430
0.6257 0.5570 0.8406
0.6912 0.2140 0.0702
0.2140 0.0702 0.6912
0.1162 0.0411 0.3548
0.3548 0.1162 0.0411
0.8838 0.9589 0.6452
0.5000 0.5000 0.5000
0.9589 0.6452 0.8838
0.0411 0.3548 0.1162
0.6452 0.8838 0.9589
0.0000 0.0000 0.0000
```

Calculated values
Energy of formation: -0.281 eV per atom
E_tot: -129.53 eV per cell
Space group: R-3, No. 148



Record 17
DFT (PBE-GGA) results for an optimized crystal structure of HoErC.

The structure in POSCAR format:
```
HoErC
1.0
-0.3337 -0.0236 -3.5532
4.3359 -4.3831 -0.3781
-4.8431 -3.5300 2.2707
Ho C Er
2 2 2
direct
0.3895 0.6298 0.7790
0.6105 0.3702 0.2210
0.5000 0.0000 0.0000
0.0000 0.5000 0.0000
0.1094 0.8700 0.2189
0.8906 0.1300 0.7811
```

Calculated values
Excess energy over the best structure of this formula in the dataset: 0.000 eV/atom
Energy of formation: -0.314 eV per atom
E_tot: -38.61 eV per cell
Space group: C2/m, No. 12



Record 18
DFT (PBE-GGA) results for an optimized crystal structure of HoErC.

The structure in POSCAR format:
```
HoErC
1.0
6.2410 0.5640 0.1024
-2.1287 5.8169 -0.9540
-2.5999 -3.2969 4.2054
C Er Ho
2 2 2
direct
0.0001 0.0001 0.1169
0.9999 0.9999 0.8831
0.0000 0.0000 0.5000
0.5000 0.5000 0.5000
0.2366 0.7634 0.0000
0.7634 0.2366 0.0000
```

Calculated values
Excess energy over the best structure of this formula in the dataset: 0.145 eV/atom
Energy of formation: -0.169 eV per atom
E_tot: -37.74 eV per cell
Space group: Immm, No. 71



Record 19
DFT (PBE-GGA) results for an optimized crystal structure of HoErC2.

The structure in POSCAR format:
```
HoErC2
1.0
3.5651 0.0000 0.0000
1.7825 3.0874 0.0000
1.7825 1.0291 5.8069
Er Ho C
1 1 2
direct
0.5000 0.5000 0.5000
0.0000 0.0000 0.0000
0.7505 0.7505 0.7485
0.2495 0.2495 0.2515
```

Calculated values
Energy of formation: -0.006 eV per atom
E_tot: -27.61 eV per cell
Space group: R-3m, No. 166



Record 20
DFT (PBE-GGA) results for an optimized crystal structure of Ho3ErC8.

The structure in POSCAR format:
```
Ho3ErC8
1.0
-1.2873 4.8493 1.1379
-3.1020 -4.4134 3.6983
1.9581 -0.8240 5.7856
C Er Ho
8 1 3
direct
0.1662 0.4986 0.9399
0.4168 0.0000 0.1891
0.6673 0.5014 0.2270
0.9165 0.0000 0.4774
0.4165 0.0000 0.9775
0.1659 0.4986 0.7284
0.9168 0.0000 0.6891
0.6675 0.5014 0.4385
0.9167 0.0000 0.0832
0.4167 0.0000 0.5833
0.6665 0.4996 0.8336
0.1669 0.5004 0.3332
```

Calculated values
Energy of formation: -0.191 eV per atom
E_tot: -94.38 eV per cell
Space group: C2/m, No. 12